# SmMg2Sc

A relaxed structure of SmMg2Sc (GGA-PBE, the Alexandria database).

Results
E above lowest polymorph: 0 meV per atom
formation enthalpy at 0 K: -0.067 eV/atom
crystal system: cubic
final energy: -14.51 eV per cell

Lattice parameters (Å, degrees): 5.264 5.264 5.264 60.00 60.00 60.00
Atoms (fractional coordinates):
Sc1 0.500 0.500 0.500
Mg1 0.250 0.250 0.250
Mg2 0.750 0.750 0.750
Sm1 0.000 0.000 0.000

=====

# Er2Th3In7

A relaxed structure of Er2Th3In7 (GGA-PBE, the Alexandria database).

Results
formation enthalpy at 0 K: -0.114 eV/atom
crystal system: orthorhombic
final energy: -51.92 eV per cell

Lattice parameters (Å, degrees): 4.852 4.811 15.369 99.01 90.00 90.00
Atoms (fractional coordinates):
Er1 0.000 0.841 0.683
Er2 0.000 0.159 0.317
Th1 0.500 0.500 0.000
Th2 0.500 0.651 0.303
Th3 0.500 0.349 0.697
In1 0.000 0.421 0.843
In2 0.000 0.727 0.453
In3 0.000 0.000 0.000
In4 0.000 0.579 0.157
In5 0.500 0.079 0.158
In6 0.500 0.921 0.842
In7 0.000 0.273 0.547

=====

# MgSbMo

A relaxed structure of MgSbMo (GGA-PBE, the Alexandria database).

Results
E above lowest polymorph: 219 meV per atom
ΔE_f (raw): 0.304 eV per atom
crystal system: trigonal
final energy: -15.64 eV per cell

Lattice parameters (Å, degrees): 3.248 3.248 6.844 90.00 90.00 120.00
Atoms (fractional coordinates):
Mg1 0.000 0.000 0.023
Mo1 0.667 0.333 0.343
Sb1 0.333 0.667 0.634

=====

# TcSb2AuI

A relaxed structure of TcSb2AuI (GGA-PBE, the Alexandria database).

Results
E above lowest polymorph: 1071 meV per atom
ΔE_f (raw): 1.691 eV per atom
crystal system: tetragonal
final energy: -14.98 eV per cell

Lattice parameters (Å, degrees): 5.786 5.786 5.207 90.00 90.00 90.00
Each line ends with the local moment (μB).
Atoms (fractional coordinates):
I1 0.000 0.000 0.000  -0.01
Sb1 0.000 0.500 0.000  -0.14
Sb2 0.500 0.000 0.000  -0.14
Au1 0.000 0.000 0.500  -0.01
Tc1 0.500 0.500 0.500  3.76

=====

# Na3LiPd2O6

A relaxed structure of Na3LiPd2O6 (GGA-PBE, the Alexandria database).

Results
ΔE_f (raw): -1.144 eV per atom
crystal system: monoclinic
final energy: -59.73 eV per cell

Lattice parameters (Å, degrees): 5.364 5.364 5.607 99.19 99.19 119.98
Atoms (fractional coordinates):
Na1 0.161 0.839 0.500
Na2 0.839 0.161 0.500
Na3 0.500 0.500 0.500
Li1 0.000 0.000 0.000
Pd1 0.333 0.667 0.000
Pd2 0.667 0.333 0.000
O1 0.932 0.583 0.795
O2 0.721 0.721 0.204
O3 0.068 0.417 0.205
O4 0.583 0.932 0.795
O5 0.279 0.279 0.796
O6 0.417 0.068 0.205

=====

# RbLaTi2

A relaxed structure of RbLaTi2 (GGA-PBE, the Alexandria database).

Results
E above lowest polymorph: 66 meV per atom
formation enthalpy at 0 K: 1.303 eV/atom
crystal system: tetragonal
final energy: -32.94 eV per cell

Lattice parameters (Å, degrees): 5.023 5.023 11.631 77.53 77.53 90.00
Atoms (fractional coordinates):
Ti1 0.875 0.125 0.250
Ti2 0.875 0.625 0.250
Ti3 0.375 0.125 0.750
Ti4 0.875 0.125 0.750
Rb1 0.500 0.500 0.000
Rb2 0.250 0.750 0.500
La1 0.000 0.000 0.000
La2 0.750 0.250 0.500

=====

# NdErH4

A relaxed structure of NdErH4 (GGA-PBE, the Alexandria database).

Results
crystal system: tetragonal
final energy: -26.79 eV per cell

Lattice parameters (Å, degrees): 3.726 3.726 5.327 90.00 90.00 90.00
Atoms (fractional coordinates):
Nd1 0.000 0.000 0.000
Er1 0.500 0.500 0.500
H1 0.500 0.000 0.731
H2 0.000 0.500 0.731
H3 0.500 0.000 0.269
H4 0.000 0.500 0.269

=====

# DyY2H

A relaxed structure of DyY2H (GGA-PBE, the Alexandria database).

Results
E above lowest polymorph: 0 meV per atom
crystal system: trigonal
final energy: -21.65 eV per cell

Lattice parameters (Å, degrees): 3.603 3.603 8.765 78.14 78.14 60.00
Atoms (fractional coordinates):
Y1 0.279 0.279 0.162
Y2 0.721 0.721 0.838
H1 0.000 0.000 0.000
Dy1 0.500 0.500 0.500